(1)
AgBi3N PBE optimized geometry; E above lowest polymorph = 0.0 meV per atom; uncorrected formation energy = 559 meV/atom; N(E_F) = 3.14 states/eV per cell; volume = 121 Å³/cell
1.0
4.949 0.000 0.000
0.000 4.949 0.000
0.000 0.000 4.949
Bi Ag N
3 1 1
Cartesian
0.000 2.475 0.000
0.000 0.000 2.475
2.475 0.000 0.000
2.475 2.475 2.475
0.000 0.000 0.000

***

(2)
TbUSb2 PBE optimized geometry; E above lowest polymorph = 866.5 meV per atom; uncorrected formation energy = 200 meV/atom; N(E_F) = 9.01 states/eV per cell; volume = 146 Å³/cell
1.0
4.169 0.000 0.000
2.085 3.611 0.000
2.085 1.204 9.729
Tb U Sb
1 1 2
Cartesian
0.000 0.000 0.000
4.169 2.407 4.865
2.085 1.204 6.734
6.254 3.611 2.995

***

(3)
InTcNiPb2 PBE optimized geometry; E above lowest polymorph = 599.6 meV per atom; calculated formation energy = 7.226 eV/f.u.; N(E_F) = 4.12 states/eV per cell; volume = 150 Å³/cell
1.0
-4.150 3.402 -1.748
-2.838 -3.719 -0.501
-1.744 0.612 5.332
Pb Ni Tc In
2 1 1 1
Cartesian
-0.872 0.306 2.666
-2.075 1.701 -0.874
-1.419 -1.860 -0.251
-4.366 0.148 1.541
0.000 0.000 0.000

***

(4)
Pr3In5 PBE optimized geometry; E above lowest polymorph = 70.5 meV per atom; calculated formation energy = -3.616 eV/f.u.; N(E_F) = 5.07 states/eV per cell; volume = 227 Å³/cell
1.0
-4.219 2.423 0.742
-1.980 -1.510 -6.330
-2.747 -5.609 2.695
Pr In
3 5
Cartesian
-2.363 -3.559 -1.818
-4.262 -1.224 -3.923
-4.683 -3.473 1.029
0.000 0.000 0.000
-1.374 -2.804 1.347
-0.990 -0.755 -3.165
-3.358 -0.669 -0.590
-5.587 -4.027 -2.304

***

(5)
CsKZnAu PBE optimized geometry; calculated formation energy = -0.045 eV/f.u.; N(E_F) = 2.41 states/eV per cell; volume = 158 Å³/cell
1.0
-4.144 4.421 -0.176
-5.559 -0.966 2.218
-1.736 2.733 5.125
Cs Zn Au K
1 1 1 1
Cartesian
-2.860 1.547 1.792
0.000 0.000 0.000
-5.719 3.095 3.584
-8.579 4.642 5.376

***

(6)
Nd2Sb4PdPt3 PBE optimized geometry; uncorrected formation energy = -827 meV/atom; N(E_F) = 3.10 states/eV per cell; volume = 230 Å³/cell
1.0
4.653 0.000 0.000
0.000 4.653 0.000
0.000 0.000 10.623
Nd Sb Pd Pt
2 4 1 3
Cartesian
2.326 0.000 2.797
0.000 2.326 7.826
2.326 2.326 0.000
0.000 0.000 0.000
2.326 0.000 6.664
0.000 2.326 3.959
2.326 2.326 5.311
0.000 0.000 5.311
2.326 0.000 9.263
0.000 2.326 1.360

***

(7)
Sc2HgBi2 PBE optimized geometry; E above lowest polymorph = 228.1 meV per atom; calculated formation energy = -1.110 eV/f.u.; N(E_F) = 1.70 states/eV per cell; volume = 163 Å³/cell
1.0
5.204 0.000 0.000
0.000 5.204 0.000
2.602 2.602 6.027
Sc Bi Hg
2 2 1
Cartesian
5.204 2.602 3.014
2.602 5.204 3.014
2.602 2.602 1.635
5.204 5.204 4.392
0.000 0.000 0.000

***

(8)
Ge2RhPb PBE optimized geometry; calculated formation energy = -0.093 eV/f.u.; N(E_F) = 3.22 states/eV per cell; volume = 89 Å³/cell
1.0
-0.651 3.205 -0.847
-1.321 0.713 -3.027
-8.929 0.533 2.137
Pb Ge Rh
1 2 1
Cartesian
0.000 0.000 0.000
-6.253 0.783 1.028
-4.648 3.667 -2.765
-5.450 2.225 -0.868